An optimized crystal structure of In3IrI. Source: Alexandria via LeMat-Bulk, functional PBE-GGA.

## Properties
Excess energy over the best structure of this formula in the dataset (eV/atom): 0.220
Symmetry: C2/m
Size of the total moment (μB per formula unit): 0.00

Cell lengths 19.8223, 7.7058, 7.7058 Å; angles 147.09, 149.96, 30.04 degrees
Last column: nearest neighbours and their distance in Å.
Sites, in units of the cell vectors:
I  0.0009  0.8475  0.1525  4 In 3.05-3.41
I  0.9991  0.1525  0.8475  4 In 3.05-3.41
Ir  0.5278  0.0730  0.9270  6 In 2.63-2.82
Ir  0.4722  0.9270  0.0730  6 In 2.63-2.82
In  0.6443  0.2686  0.7314  2 Ir 2.73, 1 In 2.98, 1 I 3.05
In  0.3557  0.7314  0.2686  2 Ir 2.73, 1 In 2.98, 1 I 3.05
In  0.1645  0.3041  0.6959  1 Ir 2.63, 1 In 2.81
In  0.8356  0.6959  0.3041  1 Ir 2.63, 1 In 2.81
In  0.6052  0.5916  0.4084  3 Ir 2.82, 2 In 2.97
In  0.3948  0.4084  0.5916  3 Ir 2.82, 2 In 2.97

An optimized crystal structure of In3IrI. Source: Alexandria via LeMat-Bulk, functional PBE-GGA.

## Properties
Excess energy over the best structure of this formula in the dataset (eV/atom): 0.060
Symmetry: Cmmm
Size of the total moment (μB per formula unit): 0.00

Cell lengths 5.3379, 7.9430, 7.2325 Å; angles 117.08, 90.00, 90.00 degrees
Last column: nearest neighbours and their distance in Å.
Sites, in units of the cell vectors:
I  0.8896  0.7511  0.6878  11 In 3.36-3.62
I  0.8896  0.1950  0.4095  11 In 3.36-3.62
Ir  0.3896  0.6914  0.1579  6 In 2.68-2.69
Ir  0.3896  0.2548  0.9394  6 In 2.68-2.69
In  0.3896  0.4730  0.3537  2 Ir 2.69, 1 In 2.82
In  0.3896  0.4733  0.7437  2 Ir 2.69, 1 In 2.82
In  0.3896  0.9731  0.5487  2 Ir 2.69
In  0.3896  0.9732  0.0488  2 Ir 2.69
In  0.8896  0.7194  0.1721  2 Ir 2.68
In  0.8896  0.2265  0.9250  2 Ir 2.68

An optimized crystal structure of InIrI2. Source: Alexandria via LeMat-Bulk, functional PBE-GGA.

## Properties
Excess energy over the best structure of this formula in the dataset (eV/atom): 0.760
Symmetry: Fm-3m
Size of the total moment (μB per formula unit): 2.06

Cell lengths 5.3262, 5.3262, 5.3262 Å; angles 60.00, 60.00, 60.00 degrees
Last column: nearest neighbours and their distance in Å.
Sites, in units of the cell vectors:
I  0.2500  0.2500  0.2500  4 Ir 3.26, 4 In 3.26
I  0.7500  0.7500  0.7500  4 In 3.26, 4 Ir 3.26
Ir  0.5000  0.5000  0.5000  8 I 3.26
In  0.0000  0.0000  0.0000  8 I 3.26

An optimized crystal structure of InIr2I. Source: Alexandria via LeMat-Bulk, functional PBE-GGA.

## Properties
Excess energy over the best structure of this formula in the dataset (eV/atom): 0.000
Symmetry: I-42d
Size of the total moment (μB per formula unit): 0.00

Cell lengths 4.5226, 4.5226, 8.9919 Å; angles 75.43, 75.43, 90.00 degrees
Last column: nearest neighbours and their distance in Å.
Sites, in units of the cell vectors:
I  0.0000  0.0000  0.0000  4 Ir 2.59
I  0.7500  0.2500  0.5000  4 Ir 2.59
Ir  0.6548  0.1250  0.2500  2 I 2.59, 2 In 2.70
Ir  0.0952  0.6250  0.2500  2 I 2.59, 2 In 2.70
Ir  0.3750  0.3452  0.7500  2 I 2.59, 2 In 2.70
Ir  0.8750  0.9048  0.7500  2 I 2.59, 2 In 2.70
In  0.5000  0.5000  0.0000  4 Ir 2.70
In  0.2500  0.7500  0.5000  4 Ir 2.70

An optimized crystal structure of In3IrI. Source: Alexandria via LeMat-Bulk, functional PBE-GGA.

## Properties
Excess energy over the best structure of this formula in the dataset (eV/atom): 0.396
Symmetry: Pnma
Size of the total moment (μB per formula unit): 0.00

Cell lengths 6.6693, 11.9811, 6.6279 Å; angles 90.00, 90.00, 90.00 degrees
Last column: nearest neighbours and their distance in Å.
Sites, in units of the cell vectors:
I  0.0000  0.0000  0.5000  2 In 3.03, 2 Ir 3.16
I  0.5000  0.5000  0.0000  2 In 3.03, 2 Ir 3.16
I  0.5000  0.0000  0.0000  2 In 3.03, 2 Ir 3.16
I  0.0000  0.5000  0.5000  2 In 3.03, 2 Ir 3.16
Ir  0.8648  0.2500  0.4307  6 In 2.74-2.90
Ir  0.6352  0.7500  0.9307  6 In 2.74-2.90
Ir  0.1352  0.7500  0.5693  6 In 2.74-2.90
Ir  0.3648  0.2500  0.0693  6 In 2.74-2.90
In  0.9761  0.8805  0.9017  2 Ir 2.77-2.90, 1 I 3.03
In  0.5239  0.3805  0.4017  2 Ir 2.77-2.90, 1 I 3.03
In  0.5239  0.1195  0.4017  2 Ir 2.77-2.90, 1 I 3.03
In  0.0239  0.3805  0.0983  2 Ir 2.77-2.90, 1 I 3.03
In  0.0239  0.1195  0.0983  2 Ir 2.77-2.90, 1 I 3.03
In  0.4761  0.6195  0.5983  2 Ir 2.77-2.90, 1 I 3.03
In  0.4761  0.8805  0.5983  2 Ir 2.77-2.90, 1 I 3.03
In  0.9761  0.6195  0.9017  2 Ir 2.77-2.90, 1 I 3.03
In  0.6892  0.2500  0.8144  2 Ir 2.74-2.80
In  0.8108  0.7500  0.3144  2 Ir 2.74-2.80
In  0.3108  0.7500  0.1856  2 Ir 2.74-2.80
In  0.1892  0.2500  0.6856  2 Ir 2.74-2.80

An optimized crystal structure of In3IrI. Source: Alexandria via LeMat-Bulk, functional PBE-GGA.

## Properties
Excess energy over the best structure of this formula in the dataset (eV/atom): 0.366
Symmetry: P6_3/mmc
Size of the total moment (μB per formula unit): 0.00

Cell lengths 4.5460, 4.5460, 19.0854 Å; angles 90.00, 90.00, 120.00 degrees
Last column: nearest neighbours and their distance in Å.
Sites, in units of the cell vectors:
I  0.0000  0.0000  0.0000  6 In 3.39
I  0.0000  0.0000  0.5000  6 In 3.39
Ir  0.3333  0.6667  0.7500  5 In 2.62-2.63
Ir  0.6667  0.3333  0.2500  5 In 2.62-2.63
In  0.0000  0.0000  0.2500  3 Ir 2.62
In  0.0000  0.0000  0.7500  3 Ir 2.62
In  0.3333  0.6667  0.8878  1 Ir 2.63
In  0.3333  0.6667  0.6122  1 Ir 2.63
In  0.6667  0.3333  0.3878  1 Ir 2.63
In  0.6667  0.3333  0.1122  1 Ir 2.63

An optimized crystal structure of In3IrI. Source: Alexandria via LeMat-Bulk, functional PBE-GGA.

## Properties
Excess energy over the best structure of this formula in the dataset (eV/atom): 0.325
Symmetry: P2_1/m
Size of the total moment (μB per formula unit): 0.00

Cell lengths 5.7496, 7.0709, 7.7387 Å; angles 90.00, 68.17, 90.00 degrees
Last column: nearest neighbours and their distance in Å.
Sites, in units of the cell vectors:
I  0.7962  0.2500  0.4071  1 Ir 2.75
I  0.2038  0.7500  0.5929  1 Ir 2.75
Ir  0.6050  0.2500  0.7899  6 In 2.73-2.99, 1 I 2.75
Ir  0.3950  0.7500  0.2101  6 In 2.73-2.99, 1 I 2.75
In  0.2504  0.4995  0.0005  2 Ir 2.73, 2 In 2.87-2.88
In  0.7496  0.5005  0.9995  2 Ir 2.73, 2 In 2.87-2.88
In  0.2504  0.0005  0.0005  2 Ir 2.73, 2 In 2.87-2.88
In  0.7496  0.9995  0.9995  2 Ir 2.73, 2 In 2.87-2.88
In  0.1608  0.2500  0.6780  2 Ir 2.98-2.99, 4 In 3.25
In  0.8392  0.7500  0.3220  2 Ir 2.98-2.99, 4 In 3.25

An optimized crystal structure of In3IrI. Source: Alexandria via LeMat-Bulk, functional PBE-GGA.

## Properties
Excess energy over the best structure of this formula in the dataset (eV/atom): 0.345
Symmetry: P2_1/m
Size of the total moment (μB per formula unit): 0.00

Cell lengths 5.1394, 9.8968, 7.3062 Å; angles 90.00, 91.02, 90.00 degrees
Last column: nearest neighbours and their distance in Å.
Sites, in units of the cell vectors:
I  0.7737  0.2500  0.6920  1 Ir 2.67
I  0.2263  0.7500  0.3080  1 Ir 2.67
Ir  0.7581  0.2500  0.3262  4 In 2.58-2.60, 1 I 2.67
Ir  0.2419  0.7500  0.6738  4 In 2.58-2.60, 1 I 2.67
In  0.2485  0.9314  0.9313  1 Ir 2.60
In  0.7515  0.0686  0.0687  1 Ir 2.60
In  0.2485  0.5686  0.9313  1 Ir 2.60
In  0.7515  0.4314  0.0687  1 Ir 2.60
In  0.2575  0.2500  0.2982  2 Ir 2.58
In  0.7425  0.7500  0.7018  2 Ir 2.58

- The lowest excess energy over the best structure of this formula in the dataset belongs to which entry?
  InIr2I

- size of the total moment of number 5 (In3IrI)?
  0.00 μB per formula unit

- Which formula does entry 8 have?
  In3IrI